VASP calculation (GGA-PBE) on a relaxed structure of Zn3B2O6.

POSCAR file:
```
Zn3B2O6
1.0
-2.819 -4.872 -2.692
4.106 -6.635 2.507
-6.168 -0.952 7.879
O Zn B
24 12 8
direct
0.998 0.184 0.345 O
0.002 0.816 0.655 O
0.193 0.553 0.895 O
0.269 0.574 0.393 O
0.164 0.095 0.054 O
0.329 0.985 0.848 O
0.711 0.594 0.804 O
0.259 0.390 0.696 O
0.316 0.938 0.349 O
0.836 0.905 0.946 O
0.731 0.426 0.607 O
0.179 0.087 0.550 O
0.529 0.719 0.608 O
0.289 0.406 0.196 O
0.684 0.062 0.651 O
0.671 0.015 0.152 O
0.821 0.913 0.450 O
0.807 0.447 0.105 O
0.471 0.281 0.392 O
0.497 0.306 0.887 O
0.503 0.694 0.113 O
0.989 0.211 0.850 O
0.011 0.789 0.150 O
0.741 0.610 0.304 O
0.722 0.106 0.322 Zn
0.982 0.721 0.341 Zn
0.515 0.288 0.581 Zn
0.391 0.935 0.155 Zn
0.485 0.712 0.419 Zn
0.061 0.283 0.179 Zn
0.251 0.601 0.075 Zn
0.749 0.399 0.925 Zn
0.018 0.279 0.659 Zn
0.609 0.065 0.845 Zn
0.939 0.717 0.821 Zn
0.278 0.894 0.678 Zn
0.343 0.421 0.327 B
0.843 0.903 0.083 B
0.157 0.097 0.917 B
0.166 0.069 0.414 B
0.834 0.931 0.586 B
0.685 0.586 0.175 B
0.657 0.579 0.673 B
0.315 0.414 0.825 B
```

The raw total energy is -270.62 eV for the cell shown. The energy above the most stable polymorph in this dataset comes out at 0 meV per atom.